First-principles (GGA-PBE) data for a relaxed CdTeIr2Au crystal, as listed in the Alexandria database.

formation energy from raw total energies	9.8	eV/f.u.
DOS(E_F)	7.6	states/eV/cell
space-group type	No. 123
calculated volume	129	Å³/f.u.
distance to the lowest polymorph of the same formula	526	meV per atom

Unit cell a=4.9704 b=4.9704 c=5.2368 alpha=90.00 beta=90.00 gamma=90.00
Last column: nearest neighbours and their distance in Å.
Atoms (fractional coordinates):
Cd1 0.0000 0.0000 0.0000  4 Ir 2.49, 2 Te 2.62
Te1 0.0000 0.0000 0.5000  2 Cd 2.62
Ir1 0.0000 0.5000 0.0000  2 Cd 2.49
Ir2 0.5000 0.0000 0.0000  2 Cd 2.49
Au1 0.5000 0.5000 0.5000  4 Te 3.51, 8 Ir 3.61


First-principles (GGA-PBE) data for a relaxed NaCoGe2 crystal, as listed in the Alexandria database.

formation enthalpy at 0 K	-0.4	eV/f.u.
DOS(E_F)	0.6	states/eV/cell
space-group type	No. 123
calculated volume	67	Å³/f.u.
distance to the lowest polymorph of the same formula	0	meV per atom

Unit cell a=2.9153 b=2.9153 c=7.8467 alpha=90.00 beta=90.00 gamma=90.00
Last column: nearest neighbours and their distance in Å.
Atoms (fractional coordinates):
Na1 0.0000 0.0000 0.0000  4 Na 2.92, 8 Ge 3.19
Co1 0.0000 0.0000 0.5000  8 Ge 2.54
Ge1 0.5000 0.5000 0.3099  4 Co 2.54
Ge2 0.5000 0.5000 0.6901  4 Co 2.54


First-principles (GGA-PBE) data for a relaxed Th2Si3Ir4Ru crystal, as listed in the Alexandria database.

formation energy from raw total energies	-9.0	eV/f.u.
DOS(E_F)	6.2	states/eV/cell
space-group type	No. 115
calculated volume	178	Å³/f.u.

Unit cell a=4.1652 b=4.1652 c=10.2653 alpha=90.00 beta=90.00 gamma=90.00
Last column: nearest neighbours and their distance in Å.
Atoms (fractional coordinates):
Th1 0.0000 0.5000 0.2458  6 Si 3.18-3.34, 8 Ir 3.19-3.27, 2 Ru 3.34
Th2 0.5000 0.0000 0.7542  6 Si 3.18-3.34, 8 Ir 3.19-3.27, 2 Ru 3.34
Si1 0.0000 0.5000 0.8710  5 Ir 2.42-2.47
Si2 0.5000 0.0000 0.1290  5 Ir 2.42-2.47
Si3 0.5000 0.5000 0.5000  4 Ir 2.50
Ir1 0.0000 0.0000 0.0000  4 Si 2.47
Ir2 0.0000 0.5000 0.6352  3 Si 2.42-2.50, 2 Ru 2.50
Ir3 0.5000 0.0000 0.3648  3 Si 2.42-2.50, 2 Ru 2.50
Ir4 0.5000 0.5000 0.0000  4 Si 2.47
Ru1 0.0000 0.0000 0.5000  4 Ir 2.50


First-principles (GGA-PBE) data for a relaxed Al2CdOsO8 crystal, as listed in the Alexandria database.

formation energy from raw total energies	-19.5	eV/f.u.
DOS(E_F)	1.4	states/eV/cell
space-group type	No. 65
calculated volume	130	Å³/f.u.

Unit cell a=4.5640 b=4.5640 c=6.2456 alpha=90.00 beta=90.00 gamma=90.38
Last column: nearest neighbours and their distance in Å.
Atoms (fractional coordinates):
Al1 0.0000 0.0000 0.2425  6 O 1.89-2.06
Al2 0.0000 0.0000 0.7575  6 O 1.89-2.06
Cd1 0.5000 0.5000 0.0000  6 O 2.09-2.27
Os1 0.5000 0.5000 0.5000  6 O 1.87-1.93
O1 0.1749 0.1749 0.0000  2 Al 1.89, 1 Cd 2.09
O2 0.1993 0.1993 0.5000  1 Os 1.93, 2 Al 2.06
O3 0.2920 0.7080 0.2921  1 Os 1.87, 1 Al 1.92
O4 0.2920 0.7080 0.7079  1 Os 1.87, 1 Al 1.92
O5 0.7080 0.2920 0.2921  1 Os 1.87, 1 Al 1.92
O6 0.7080 0.2920 0.7079  1 Os 1.87, 1 Al 1.92
O7 0.8007 0.8007 0.5000  1 Os 1.93, 2 Al 2.06
O8 0.8251 0.8251 0.0000  2 Al 1.89, 1 Cd 2.09


Among the records above, which one has the highest DOS(E_F)? CdTeIr2Au